# Cs2ReO4 | Alexandria | PBEsol | relaxed
# **Magnetic moment**: 1.002 μB per formula unit
# **Formation energy (no corrections)**: -1715.4 meV/atom
data_Cs2ReO4
_symmetry_space_group_name_H-M 'P n m a'
_symmetry_Int_Tables_number 62
_symmetry_space_group_name_Hall '-P 2ac 2n'
_cell_length_a 8.4838
_cell_length_b 6.4766
_cell_length_c 11.5116
_cell_angle_alpha 90.00
_cell_angle_beta 90.00
_cell_angle_gamma 90.00
loop_
_atom_site_label
_atom_site_type_symbol
_atom_site_fract_x
_atom_site_fract_y
_atom_site_fract_z
_atom_site_occupancy
Cs1 Cs 0.9997 0.2500 0.2110 1
Cs2 Cs 0.1650 0.2500 0.5835 1
Re1 Re 0.2173 0.2500 0.9194 1
O1 O 0.0120 0.2500 0.8844 1
O2 O 0.1983 0.7500 0.5631 1
O3 O 0.2173 0.5058 0.3644 1